Computed, not measured: a relaxed TbNdGa6 crystal at the PBE-GGA level of DFT.

Values from the calculation:
Magnetization (μB per formula unit): 0.0
E_tot (eV for the cell shown): -32.0

The structure in CIF format:
```
data_TbNdGa6
_chemical_formula_sum 'Tb1 Nd1 Ga6'
_cell_length_a 6.3633
_cell_length_b 6.3633
_cell_length_c 4.5505
_cell_angle_alpha 90.00
_cell_angle_beta 90.00
_cell_angle_gamma 120.00
_symmetry_space_group_name_H-M 'P -6 m 2'
_symmetry_Int_Tables_number 187
_symmetry_space_group_name_Hall 'P -6 2'
loop_
_atom_site_label
_atom_site_fract_x
_atom_site_fract_y
_atom_site_fract_z
Tb1 0.0000 0.0000 0.0000
Nd1 0.3333 0.6667 0.5000
Ga1 0.3726 0.1863 0.5000
Ga2 0.5222 0.0444 0.0000
```

Computed, not measured: a relaxed LuBeNi crystal at the PBE-GGA level of DFT.

Values from the calculation:
Offset from the most stable computed form (meV/atom): 656
Magnetization (μB per formula unit): 0.0
E_tot (eV for the cell shown): -47.4

The structure in CIF format:
```
data_LuBeNi
_chemical_formula_sum 'Lu4 Be4 Ni4'
_cell_length_a 6.119
_cell_length_b 6.119
_cell_length_c 6.119
_cell_angle_alpha 90.00
_cell_angle_beta 90.00
_cell_angle_gamma 90.00
_symmetry_space_group_name_H-M 'F -4 3 m'
_symmetry_Int_Tables_number 216
_symmetry_space_group_name_Hall 'F -4 2 3'
loop_
_atom_site_label
_atom_site_fract_x
_atom_site_fract_y
_atom_site_fract_z
Lu1 0.000 0.000 0.000
Be1 0.250 0.250 0.750
Ni1 0.250 0.250 0.250
```

- Which formula does entry 2 have?
  LuBeNi